# Nd8CuRu2 | Alexandria | PBE | relaxed
data_Nd8CuRu2
_cell_length_a 8.426
_cell_length_b 12.976
_cell_length_c 6.352
_cell_angle_alpha 90.00
_cell_angle_beta 109.99
_cell_angle_gamma 90.00
_symmetry_space_group_name_H-M 'C 1 m 1'
_symmetry_Int_Tables_number 8
_symmetry_space_group_name_Hall 'C -2y'
loop_
_atom_site_label
_atom_site_fract_x
_atom_site_fract_y
_atom_site_fract_z
Nd1 0.000 0.000 0.000
Nd2 0.075 0.367 0.808
Nd3 0.145 0.134 0.590
Nd4 0.221 0.500 0.394
Nd5 0.365 0.211 0.193
Cu1 0.360 0.000 0.004
Ru1 0.359 0.311 0.700
# calculated volume: 326.28 Å³/f.u.
# E_form: -0.052 eV per atom
# size of the total moment: 0.0 μB/f.u.

---

# Nd4CuRu2 | Alexandria | PBE | relaxed
data_Nd4CuRu2
_cell_length_a 7.320
_cell_length_b 7.322
_cell_length_c 7.731
_cell_angle_alpha 73.34
_cell_angle_beta 73.34
_cell_angle_gamma 72.62
_symmetry_space_group_name_H-M 'P 1'
_symmetry_Int_Tables_number 1
_symmetry_space_group_name_Hall 'P 1'
loop_
_atom_site_label
_atom_site_fract_x
_atom_site_fract_y
_atom_site_fract_z
Nd1 0.000 0.000 0.000
Nd2 0.001 0.536 0.861
Nd3 0.005 0.540 0.371
Nd4 0.458 0.514 0.504
Nd5 0.465 0.534 0.001
Nd6 0.488 0.022 0.384
Nd7 0.499 0.034 0.857
Nd8 0.980 0.992 0.504
Cu1 0.781 0.315 0.223
Cu2 0.789 0.324 0.726
Ru1 0.187 0.234 0.645
Ru2 0.264 0.798 0.735
Ru3 0.287 0.822 0.222
Ru4 0.698 0.722 0.646
# calculated volume: 184.79 Å³/f.u.
# E_form: -0.152 eV per atom
# size of the total moment: 0.0 μB/f.u.